# GGA-PBE Rb2U3S8, optimized geometry
data_Rb2U3S8
_cell_length_a 9.885
_cell_length_b 16.344
_cell_length_c 4.474
_cell_angle_alpha 90.00
_cell_angle_beta 90.00
_cell_angle_gamma 90.00
_symmetry_space_group_name_H-M 'C m m m'
_symmetry_Int_Tables_number 65
_symmetry_space_group_name_Hall '-C 2 2'
loop_
_atom_site_label
_atom_site_fract_x
_atom_site_fract_y
_atom_site_fract_z
Rb1 0.000 0.241 0.000
U1 0.000 0.500 0.000
U2 0.208 0.000 0.500
S1 0.000 0.098 0.500
S2 0.000 0.407 0.500
S3 0.236 0.407 0.000
# - Spin magnetization: 4.0 μB/f.u.
# - Raw total energy: -6.566 eV/atom